Entry 1:
The following is a PBE-GGA calculation of an optimized crystal structure of Na12Bi3Br5, from Alexandria.

```
Na12Bi3Br5
1.0
15.4433 0.0000 0.0000
-5.1478 14.5601 0.0000
-5.1478 -7.2801 12.6094
Na Br Bi
48 20 12
direct
0.5844 0.6346 0.4116
0.4116 0.1346 0.5844
0.5844 0.9498 0.6728
0.9498 0.5844 0.1728
0.2770 0.8654 0.9498
0.1346 0.4116 0.0844
0.5884 0.7230 0.6728
0.9498 0.3654 0.2770
0.1346 0.7230 0.5502
0.5884 0.8654 0.4156
0.9116 0.0844 0.6346
0.3654 0.4156 0.0884
0.0502 0.6346 0.7230
0.7770 0.4498 0.3654
0.3272 0.7770 0.4116
0.2230 0.6728 0.0884
0.6728 0.2230 0.5884
0.2230 0.5502 0.6346
0.8654 0.5884 0.9156
0.2770 0.4116 0.8272
0.9156 0.8272 0.5502
0.6346 0.5844 0.9116
0.7230 0.5884 0.1728
0.0502 0.4156 0.8272
0.4116 0.2770 0.3272
0.4156 0.0502 0.3272
0.3272 0.5502 0.4156
0.0844 0.1728 0.4498
0.5502 0.3272 0.9156
0.7770 0.3272 0.9116
0.1728 0.0844 0.9498
0.0884 0.9156 0.3654
0.4156 0.3654 0.5884
0.3654 0.9498 0.7770
0.9116 0.8272 0.7770
0.8272 0.9156 0.0502
0.6346 0.0502 0.2230
0.1728 0.0884 0.7230
0.5502 0.2230 0.1346
0.8272 0.9116 0.2770
0.0884 0.1728 0.2230
0.4498 0.6728 0.0844
0.8654 0.2770 0.4498
0.0844 0.9116 0.1346
0.9156 0.0884 0.8654
0.4498 0.7770 0.8654
0.6728 0.4498 0.5844
0.7230 0.1346 0.0502
0.3750 0.2500 0.1250
0.0000 0.0000 0.0000
0.5000 0.0000 0.0000
0.7500 0.1250 0.8750
0.8750 0.6250 0.7500
0.6250 0.7500 0.8750
0.1250 0.7500 0.3750
0.7500 0.6250 0.3750
0.1250 0.3750 0.2500
0.8750 0.2500 0.6250
0.3750 0.1250 0.7500
0.0000 0.5000 0.5000
0.5000 0.5000 0.5000
0.6250 0.8750 0.2500
0.0000 0.5000 0.0000
0.0000 0.0000 0.5000
0.5000 0.5000 0.0000
0.2500 0.8750 0.1250
0.2500 0.3750 0.6250
0.5000 0.0000 0.5000
0.2500 0.1250 0.3750
0.3750 0.6250 0.2500
0.7500 0.3750 0.1250
0.3750 0.7500 0.6250
0.6250 0.3750 0.7500
0.1250 0.2500 0.8750
0.8750 0.7500 0.1250
0.6250 0.2500 0.3750
0.2500 0.6250 0.8750
0.7500 0.8750 0.6250
0.1250 0.8750 0.7500
0.8750 0.1250 0.2500
```

## Properties
Its space group is No. 230. For the calculated total energy, the calculation gives -210.1 eV per cell. The value obtained for the formation energy (no corrections) is -0.835 eV per atom. The density of states at the Fermi level comes out at 8.7 states/eV/f.u.


Entry 2:
The following is a PBE-GGA calculation of an optimized crystal structure of Na2BiBr4, from Alexandria.

```
Na2BiBr4
1.0
-3.4787 4.8926 3.5624
4.1511 -3.5933 4.3112
3.8961 3.0696 -4.9120
Br Bi Na
4 1 2
direct
0.6809 0.8091 0.4900
0.3191 0.1909 0.5100
0.1909 0.6809 0.8719
0.8091 0.3191 0.1281
0.5000 0.5000 0.0000
0.7500 0.2500 0.5000
0.2500 0.7500 0.5000
```

## Properties
Its space group is No. 87. For the calculated total energy, the calculation gives -20.5 eV per cell. The value obtained for the formation energy (no corrections) is -1.040 eV per atom.


Entry 3:
The following is a PBE-GGA calculation of an optimized crystal structure of Na2Bi2Br, from Alexandria.

```
Na2Bi2Br
1.0
-1.1144 5.7828 5.8485
-8.2240 -0.8627 -0.7141
0.0657 -3.5039 3.4771
Bi Br Na
4 2 4
direct
0.6188 0.8812 0.5000
0.3812 0.1188 0.5000
0.1188 0.6188 0.5000
0.8812 0.3812 0.5000
0.0000 0.0000 0.0000
0.5000 0.5000 0.0000
0.6799 0.1799 0.0000
0.8201 0.6799 0.0000
0.3201 0.8201 0.0000
0.1799 0.3201 0.0000
```

## Properties
Its space group is No. 127. For the calculated total energy, the calculation gives -28.2 eV per cell. The value obtained for the formation energy (no corrections) is -0.406 eV per atom. The density of states at the Fermi level comes out at 2.2 states/eV/f.u.


Entry 4:
The following is a PBE-GGA calculation of an optimized crystal structure of Na2BiBr6, from Alexandria.

```
Na2BiBr6
1.0
-4.5834 -4.8183 1.9455
3.3596 -4.7269 -3.7920
7.5565 -2.9833 10.4138
Br Na Bi
12 4 2
direct
0.3064 0.3064 0.3410
0.2102 0.7898 0.5000
0.1936 0.8064 0.1590
0.7898 0.2102 0.5000
0.8064 0.1936 0.1590
0.6936 0.6936 0.3410
0.2898 0.2898 0.0000
0.7102 0.7102 0.0000
0.8064 0.1936 0.8410
0.6936 0.6936 0.6590
0.1936 0.8064 0.8410
0.3064 0.3064 0.6590
0.5000 0.5000 0.8328
0.0000 0.0000 0.6672
0.5000 0.5000 0.1672
0.0000 0.0000 0.3328
0.0000 0.0000 0.0000
0.5000 0.5000 0.5000
```

## Properties
Its space group is No. 136. For the calculated total energy, the calculation gives -49.6 eV per cell. The value obtained for the formation energy (no corrections) is -0.918 eV per atom. The density of states at the Fermi level comes out at 12.7 states/eV/f.u.


Entry 5:
The following is a PBE-GGA calculation of an optimized crystal structure of Na3BiBr6, from Alexandria.

```
Na3BiBr6
1.0
-1.5916 4.4997 -5.6624
-4.8707 -5.4125 -2.9321
-8.3804 4.5044 5.6065
Br Na Bi
12 6 2
direct
0.3255 0.8031 0.4078
0.1756 0.3196 0.4440
0.1455 0.0781 0.7602
0.8545 0.9219 0.2398
0.1745 0.3031 0.0922
0.8255 0.6969 0.9078
0.8244 0.6804 0.5560
0.6455 0.4219 0.2602
0.6745 0.1969 0.5922
0.3244 0.8196 0.0560
0.3545 0.5781 0.7398
0.6756 0.1804 0.9440
0.5205 0.9232 0.7789
0.5000 0.5000 0.0000
0.4795 0.0768 0.2211
0.0205 0.5768 0.2789
0.0000 0.0000 0.5000
0.9795 0.4232 0.7211
0.0000 0.0000 0.0000
0.5000 0.5000 0.5000
```

## Properties
Its space group is No. 14. For the calculated total energy, the calculation gives -60.1 eV per cell. The value obtained for the formation energy (no corrections) is -1.217 eV per atom. The density of states at the Fermi level comes out at 0.0 states/eV/f.u.


Entry 6:
The following is a PBE-GGA calculation of an optimized crystal structure of Na2BiBr5, from Alexandria.

```
Na2BiBr5
1.0
5.4248 -0.0039 -2.3202
-3.3895 6.7744 -0.4302
0.1135 0.6358 7.7282
Br Na Bi
5 2 1
direct
0.3601 0.2670 0.3869
0.1546 0.3768 0.8621
0.7645 0.7887 0.6689
0.5621 0.0277 0.0277
0.9706 0.6790 0.1937
0.6445 0.4137 0.8040
0.4810 0.6423 0.2517
0.0626 0.0279 0.0279
```

## Properties
Its space group is No. 2. For the calculated total energy, the calculation gives -23.8 eV per cell. The value obtained for the formation energy (no corrections) is -1.118 eV per atom.


Entry 7:
The following is a PBE-GGA calculation of an optimized crystal structure of NaBi3Br, from Alexandria.

```
NaBi3Br
1.0
5.6009 0.0000 0.0000
0.0000 5.6009 0.0000
0.0000 0.0000 5.6009
Bi Na Br
3 1 1
direct
0.0000 0.0000 0.5000
0.0000 0.5000 0.0000
0.5000 0.0000 0.0000
0.0000 0.0000 0.0000
0.5000 0.5000 0.5000
```

## Properties
Its space group is No. 221. For the calculated total energy, the calculation gives -11.8 eV per cell. The value obtained for the formation energy (no corrections) is 0.574 eV per atom. The density of states at the Fermi level comes out at 6.0 states/eV/f.u. For the distance to the lowest polymorph of the same formula, the calculation gives 92 meV per atom.


Entry 8:
The following is a PBE-GGA calculation of an optimized crystal structure of NaBi2Br, from Alexandria.

```
NaBi2Br
1.0
4.4416 0.0000 0.0000
0.0000 4.4416 0.0000
2.2208 2.2208 14.4358
Br Bi Na
2 4 2
direct
0.7500 0.2500 0.5000
0.0000 0.0000 0.0000
0.8750 0.8492 0.7500
0.3750 0.4008 0.7500
0.1508 0.6250 0.2500
0.5992 0.1250 0.2500
0.2500 0.7500 0.5000
0.5000 0.5000 0.0000
```

## Properties
Its space group is No. 122. For the calculated total energy, the calculation gives -25.0 eV per cell. The value obtained for the formation energy (no corrections) is -0.436 eV per atom. The density of states at the Fermi level comes out at 1.9 states/eV/f.u. For the distance to the lowest polymorph of the same formula, the calculation gives 0 meV per atom.


Entry 9:
The following is a PBE-GGA calculation of an optimized crystal structure of NaBiBr, from Alexandria.

```
NaBiBr
1.0
-3.1705 -0.9210 -2.3354
2.3812 0.0882 -3.2674
2.6913 -13.3258 1.6015
Na Br Bi
2 2 2
direct
0.5000 0.0000 0.6011
0.0000 0.5000 0.3989
0.0000 0.5000 0.6196
0.5000 0.0000 0.3804
0.5000 0.0000 0.0555
0.0000 0.5000 0.9445
```

## Properties
Its space group is No. 129. For the calculated total energy, the calculation gives -19.1 eV per cell. The value obtained for the formation energy (no corrections) is -0.894 eV per atom. The density of states at the Fermi level comes out at 0.2 states/eV/f.u.


Entry 10:
The following is a PBE-GGA calculation of an optimized crystal structure of Na3BiBr, from Alexandria.

```
Na3BiBr
1.0
-4.3191 0.0155 3.3982
3.3967 -0.1424 4.3179
0.1002 5.4938 0.1024
Na Br Bi
3 1 1
direct
0.0000 0.0000 0.5000
0.0000 0.5000 0.0000
0.5000 0.0000 0.0000
0.0000 0.0000 0.0000
0.5000 0.5000 0.5000
```

## Properties
Its space group is No. 221. For the calculated total energy, the calculation gives -12.4 eV per cell. The value obtained for the formation energy (no corrections) is -0.582 eV per atom. The density of states at the Fermi level comes out at 1.9 states/eV/f.u. For the distance to the lowest polymorph of the same formula, the calculation gives 0 meV per atom.


Entry 11:
The following is a PBE-GGA calculation of an optimized crystal structure of Na3BiBr, from Alexandria.

```
Na3BiBr
1.0
-2.5907 2.3670 -4.8824
-0.9281 -5.5239 -2.1856
-5.3459 -0.1881 2.7455
Br Na Bi
1 3 1
direct
0.5000 0.5000 0.5000
0.0000 0.0000 0.5000
0.0000 0.5000 0.0000
0.5000 0.0000 0.0000
0.0000 0.0000 0.0000
```

## Properties
Its space group is No. 221. For the calculated total energy, the calculation gives -11.4 eV per cell. The value obtained for the formation energy (no corrections) is -0.374 eV per atom. The density of states at the Fermi level comes out at 4.1 states/eV/f.u. For the distance to the lowest polymorph of the same formula, the calculation gives 209 meV per atom.


Entry 12:
The following is a PBE-GGA calculation of an optimized crystal structure of NaBi3Br, from Alexandria.

```
NaBi3Br
1.0
-0.4197 -5.4392 -2.0043
5.7881 -0.5026 0.1520
-0.3156 -1.9852 5.4533
Bi Br Na
3 1 1
direct
0.5000 0.0000 0.0000
0.0000 0.0000 0.5000
0.0000 0.5000 0.0000
0.0000 0.0000 0.0000
0.5000 0.5000 0.5000
```

## Properties
Its space group is No. 221. For the calculated total energy, the calculation gives -12.2 eV per cell. The value obtained for the formation energy (no corrections) is 0.483 eV per atom. The density of states at the Fermi level comes out at 6.2 states/eV/f.u. For the distance to the lowest polymorph of the same formula, the calculation gives 0 meV per atom.